(1)
Entry from the Alexandria database: an optimized crystal structure of BaThMg4 (PBE).

Calculated values
- Electronic total energy: -2.556 eV/atom
- Formation energy from the elements: 64.2 meV/atom
- Crystal system: cubic

CIF file:
```
data_BaThMg4
_space_group_name_H-M_alt 'P 1'
_space_group_IT_number 1
_cell_length_a 6.280
_cell_length_b 6.280
_cell_length_c 6.280
_cell_angle_alpha 60.00
_cell_angle_beta 60.00
_cell_angle_gamma 60.00
loop_
_space_group_symop_operation_xyz
'x,y,z'
loop_
_atom_site_label
_atom_site_type_symbol
_atom_site_fract_x
_atom_site_fract_y
_atom_site_fract_z
Mg1 Mg 0.627 0.627 0.119
Th1 Th 0.000 0.000 0.000
Mg2 Mg 0.627 0.119 0.627
Ba1 Ba 0.250 0.250 0.250
Mg3 Mg 0.119 0.627 0.627
Mg4 Mg 0.627 0.627 0.627
```

(2)
Entry from the Alexandria database: an optimized crystal structure of BaThMg17 (PBE).

Calculated values
- Electronic total energy: -1.943 eV/atom
- Formation energy from the elements: -24.8 meV/atom
- Crystal system: trigonal

CIF file:
```
data_BaThMg17
_space_group_name_H-M_alt 'P 1'
_space_group_IT_number 1
_cell_length_a 7.895
_cell_length_b 7.895
_cell_length_c 7.895
_cell_angle_alpha 82.46
_cell_angle_beta 82.46
_cell_angle_gamma 82.46
loop_
_space_group_symop_operation_xyz
'x,y,z'
loop_
_atom_site_label
_atom_site_type_symbol
_atom_site_fract_x
_atom_site_fract_y
_atom_site_fract_z
Mg1 Mg 0.001 0.001 0.500
Mg2 Mg 0.644 0.644 0.167
Mg3 Mg 0.852 0.346 0.346
Mg4 Mg 0.346 0.346 0.852
Ba1 Ba 0.664 0.664 0.664
Mg5 Mg 0.296 0.004 0.700
Mg6 Mg 0.004 0.296 0.700
Mg7 Mg 0.167 0.644 0.644
Mg8 Mg 0.101 0.101 0.101
Mg9 Mg 0.905 0.905 0.905
Mg10 Mg 0.296 0.700 0.004
Mg11 Mg 0.700 0.296 0.004
Mg12 Mg 0.644 0.167 0.644
Mg13 Mg 0.001 0.500 0.001
Mg14 Mg 0.500 0.001 0.001
Mg15 Mg 0.346 0.852 0.346
Mg16 Mg 0.700 0.004 0.296
Th1 Th 0.329 0.329 0.329
Mg17 Mg 0.004 0.700 0.296
```

(3)
Entry from the Alexandria database: an optimized crystal structure of BaMgTi (PBE).

Calculated values
- Electronic total energy: -3.409 eV/atom
- Relative energy among the computed polymorphs: 0.146 eV per atom
- Formation energy from the elements: 395.4 meV/atom
- Crystal system: triclinic

CIF file:
```
data_BaMgTi
_space_group_name_H-M_alt 'P 1'
_space_group_IT_number 1
_cell_length_a 14.479
_cell_length_b 5.386
_cell_length_c 3.972
_cell_angle_alpha 138.26
_cell_angle_beta 73.95
_cell_angle_gamma 111.71
loop_
_space_group_symop_operation_xyz
'x,y,z'
loop_
_atom_site_label
_atom_site_type_symbol
_atom_site_fract_x
_atom_site_fract_y
_atom_site_fract_z
Mg1 Mg 0.355 0.920 0.427
Mg2 Mg 0.968 0.537 0.427
Ti1 Ti 0.799 0.368 0.927
Ba1 Ba 0.556 0.620 0.426
Ti2 Ti 0.786 0.857 0.928
Ba2 Ba 0.159 0.226 0.427
```